{
  "formula": "InWBr2F",
  "functional": "GGA+U",
  "state": "optimized geometry",
  "dft_energy_ha_per_atom": -0.09944,
  "spacegroup": "P4/mmm, No. 123",
  "lattice_angstrom": [[5.261, 0.000, 0.000], [0.000, 5.924, 0.000], [0.000, 0.000, 5.261]],
  "species": ["F", "In", "Br", "Br", "W"],
  "fractional_positions": [[0.500, 0.500, 0.500], [0.000, 0.000, 0.000], [0.500, 0.000, 0.000], [0.000, 0.000, 0.500], [0.000, 0.500, 0.000]]
}